Entry 1:
{"formula": "Fe5Te6Cl2O18", "functional": "PBE with a Hubbard U", "state": "relaxed", "lattice_angstrom": [[-4.545, -0.796, 1.750], [-0.502, -2.545, -9.065], [3.598, -8.462, 5.158]], "species": ["O", "O", "Fe", "Te", "O", "Cl", "O", "Te", "O", "Cl", "O", "O", "O", "O", "O", "Te", "Fe", "Fe", "Te", "O", "O", "Fe", "Fe", "Te", "Te", "O", "O", "O", "O", "O", "O"], "frac_coords": [[0.263, 0.951, 0.618], [0.633, 0.616, 0.945], [0.708, 0.415, 0.955], [0.087, 0.197, 0.068], [0.570, 0.873, 0.773], [0.755, 0.560, 0.632], [0.103, 0.849, 0.336], [0.176, 0.345, 0.699], [0.367, 0.384, 0.055], [0.245, 0.440, 0.368], [0.294, 0.181, 0.505], [0.061, 0.463, 0.868], [0.788, 0.943, 0.070], [0.209, 0.782, 0.045], [0.462, 0.291, 0.787], [0.824, 0.655, 0.301], [0.487, 0.915, 0.204], [0.000, 0.000, 0.500], [0.601, 0.231, 0.401], [0.212, 0.057, 0.930], [0.897, 0.151, 0.664], [0.513, 0.085, 0.796], [0.292, 0.585, 0.045], [0.399, 0.769, 0.599], [0.913, 0.803, 0.932], [0.939, 0.537, 0.132], [0.430, 0.127, 0.227], [0.737, 0.049, 0.382], [0.791, 0.218, 0.955], [0.538, 0.709, 0.213], [0.706, 0.819, 0.495]], "n_ef_per_ev_cell": 6.7, "total_magnetization_mub_per_atom": 0.00, "spacegroup": "P-1 (2)", "volume_a3_per_atom": 14.70, "energy_ev_per_atom": -5.6305}


Entry 2:
{"formula": "VFeCl2O", "functional": "PBE with a Hubbard U", "state": "relaxed", "lattice_angstrom": [[-2.296, 0.421, 4.361], [-0.589, -3.681, 0.045], [4.311, -0.662, 2.334]], "species": ["Cl", "V", "Cl", "O", "Fe"], "frac_coords": [[0.000, 0.000, 0.500], [0.500, 0.500, 0.500], [0.500, 0.000, 0.000], [0.000, 0.500, 0.000], [0.000, 0.000, 0.000]], "n_ef_per_ev_cell": 0.8, "total_magnetization_mub_per_atom": 0.99, "spacegroup": "P4/mmm (123)", "volume_a3_per_atom": 18.24, "energy_ev_per_atom": -4.6011}


Entry 3:
{"formula": "FeWClO4", "functional": "PBE with a Hubbard U", "state": "relaxed", "lattice_angstrom": [[5.583, 0.000, 0.000], [0.000, 6.809, 0.000], [0.000, 0.000, 6.809]], "species": ["O", "Cl", "O", "O", "O", "W", "O", "Cl", "O", "O", "O", "Fe", "Fe", "W"], "frac_coords": [[0.811, 0.750, 0.034], [0.329, 0.750, 0.750], [0.811, 0.034, 0.750], [0.189, 0.250, 0.966], [0.189, 0.250, 0.534], [0.000, 0.750, 0.250], [0.811, 0.750, 0.466], [0.671, 0.250, 0.250], [0.189, 0.966, 0.250], [0.811, 0.466, 0.750], [0.189, 0.534, 0.250], [0.270, 0.250, 0.250], [0.730, 0.750, 0.750], [0.000, 0.250, 0.750]], "n_ef_per_ev_cell": 0.0, "total_magnetization_mub_per_atom": 0.73, "spacegroup": "P4/nmm (129)", "volume_a3_per_atom": 18.49, "energy_ev_per_atom": -6.5325}


Entry 4:
{"formula": "YFeCl2O3", "functional": "PBE with a Hubbard U", "state": "relaxed", "lattice_angstrom": [[0.771, -8.905, -0.759], [2.908, -7.826, -3.281], [8.103, -6.613, 4.036]], "species": ["Cl", "O", "O", "Cl", "Cl", "Fe", "Y", "O", "O", "Y", "Cl", "O", "Fe", "O"], "frac_coords": [[0.587, 0.587, 0.802], [0.976, 0.976, 0.681], [0.910, 0.910, 0.973], [0.413, 0.413, 0.198], [0.373, 0.373, 0.604], [0.000, 0.000, 0.500], [0.389, 0.389, 0.858], [0.770, 0.770, 0.920], [0.090, 0.090, 0.027], [0.611, 0.611, 0.142], [0.627, 0.627, 0.396], [0.230, 0.230, 0.080], [0.000, 0.000, 0.000], [0.024, 0.024, 0.319]], "total_magnetization_mub_per_atom": 0.71, "spacegroup": "C2/m (12)", "volume_a3_per_atom": 19.04, "energy_ev_per_atom": -5.9061}


> What is the formula in the fourth record?

YFeCl2O3